Entry 1:
The following is a PBE calculation of a geometry-optimized CaInGaSi2 structure, from Alexandria.

- SG = P4/mmm, No. 123
- energy above the lowest structure with this stoichiometry (eV/atom) = 0.4332
- V (Å³ per cell) = 161
- formation energy (no corrections) (eV per atom) = 1.017

a = 5.3912 Å, b = 5.3912 Å, c = 5.5548 Å
α = 90.00°, β = 90.00°, γ = 90.00°
Closest atoms and distances in Å follow each position.
Positions (direct):
Ca (0.0000, 0.0000, 0.0000)  4 Si 2.70, 2 Ga 2.78
In (0.5000, 0.5000, 0.5000)  4 Ga 3.81, 8 Si 3.87
Ga (0.0000, 0.0000, 0.5000)  2 Ca 2.78
Si (0.0000, 0.5000, 0.0000)  2 Ca 2.70
Si (0.5000, 0.0000, 0.0000)  2 Ca 2.70


Entry 2:
The following is a PBE calculation of a geometry-optimized SrTbGaCu structure, from Alexandria.

- SG = F-43m, No. 216
- V (Å³ per cell) = 99
- energy of formation from the pure elements (eV per atom) = -0.2120

a = 5.1983 Å, b = 5.1983 Å, c = 5.1983 Å
α = 60.00°, β = 60.00°, γ = 60.00°
Closest atoms and distances in Å follow each position.
Positions (direct):
Sr (0.0000, 0.0000, 0.0000)  4 Cu 3.18, 4 Ga 3.18
Tb (0.5000, 0.5000, 0.5000)  4 Cu 3.18, 4 Ga 3.18
Ga (0.2500, 0.2500, 0.2500)  4 Tb 3.18, 4 Sr 3.18
Cu (0.7500, 0.7500, 0.7500)  4 Tb 3.18, 4 Sr 3.18


Entry 3:
The following is a PBE calculation of a geometry-optimized LiUPd4 structure, from Alexandria.

- SG = P-1, No. 2
- energy above the lowest structure with this stoichiometry (eV/atom) = 0.0176
- V (Å³ per cell) = 204
- energy of formation from the pure elements (eV per atom) = -0.3354

a = 5.0181 Å, b = 5.6222 Å, c = 7.7431 Å
α = 111.16°, β = 91.65°, γ = 90.02°
Closest atoms and distances in Å follow each position.
Positions (direct):
Li (0.2499, 0.0299, 0.9998)  2 Li 2.53, 6 Pd 2.59-2.65
Li (0.7501, 0.9701, 0.0002)  2 Li 2.53, 6 Pd 2.59-2.65
U (0.0000, 0.5000, 0.5000)  6 Pd 2.60-2.89
U (0.5000, 0.0000, 0.5000)  6 Pd 2.60-2.89
Pd (0.0133, 0.0234, 0.6964)  2 Li 2.59-2.84, 2 U 2.78-2.89, 2 Pd 2.84-2.85
Pd (0.0420, 0.5654, 0.8498)  1 U 2.60, 2 Li 2.62-2.65, 3 Pd 2.72-2.85
Pd (0.4586, 0.7150, 0.1504)  1 U 2.60, 2 Li 2.62-2.65, 3 Pd 2.73-2.84
Pd (0.4861, 0.3254, 0.3033)  2 Li 2.59-2.84, 2 U 2.77-2.89, 2 Pd 2.84
Pd (0.5139, 0.6746, 0.6967)  2 Li 2.59-2.84, 2 U 2.77-2.89, 2 Pd 2.84
Pd (0.5414, 0.2850, 0.8496)  1 U 2.60, 2 Li 2.62-2.65, 3 Pd 2.73-2.84
Pd (0.9580, 0.4346, 0.1502)  1 U 2.60, 2 Li 2.62-2.65, 3 Pd 2.72-2.85
Pd (0.9867, 0.9766, 0.3036)  2 Li 2.59-2.84, 2 U 2.78-2.89, 2 Pd 2.84-2.85


Entry 4:
The following is a PBE calculation of a geometry-optimized Y5Mg2Ni2 structure, from Alexandria.

- SG = Cmce, No. 64
- V (Å³ per cell) = 465
- energy of formation from the pure elements (eV per atom) = -0.1689

a = 9.3665 Å, b = 9.3665 Å, c = 7.2561 Å
α = 90.00°, β = 90.00°, γ = 46.89°
Closest atoms and distances in Å follow each position.
Positions (direct):
Y (0.0000, 0.0000, 0.0000)  4 Ni 2.93-2.95
Y (0.0714, 0.7022, 0.6778)  3 Ni 2.85-3.03
Y (0.2022, 0.5714, 0.1778)  3 Ni 2.85-3.03
Y (0.2978, 0.9286, 0.6778)  3 Ni 2.85-3.03
Y (0.4286, 0.7978, 0.1778)  3 Ni 2.85-3.03
Y (0.5000, 0.5000, 0.5000)  4 Ni 2.93-2.95
Y (0.5714, 0.2022, 0.8222)  3 Ni 2.85-3.03
Y (0.7022, 0.0714, 0.3222)  3 Ni 2.85-3.03
Y (0.7978, 0.4286, 0.8222)  3 Ni 2.85-3.03
Y (0.9286, 0.2978, 0.3222)  3 Ni 2.85-3.03
Mg (0.2288, 0.2288, 0.0000)  6 Y 3.31-3.36, 2 Mg 3.70
Mg (0.2712, 0.2712, 0.5000)  6 Y 3.31-3.36, 2 Mg 3.70
Mg (0.7288, 0.7288, 0.5000)  6 Y 3.31-3.36, 2 Mg 3.70
Mg (0.7712, 0.7712, 0.0000)  6 Y 3.31-3.36, 2 Mg 3.70
Ni (0.1211, 0.8789, 0.3837)  1 Ni 2.47
Ni (0.3789, 0.6211, 0.8837)  1 Ni 2.47
Ni (0.6211, 0.3789, 0.1163)  1 Ni 2.47
Ni (0.8789, 0.1211, 0.6163)  1 Ni 2.47